[1]
The following is a PBE calculation of a relaxed In3Pt crystal, from Alexandria via LeMat-Bulk.

ΔE_f: -0.07 eV per atom
crystal system: hexagonal

Lattice parameters (Å, degrees): 7.4222 7.4222 4.1214 90.00 90.00 120.00
Last column: nearest neighbours and their distance in Å.
Positions (direct):
In1 0.1836 0.3673 0.2500  2 Pt 2.82, 4 In 3.13
In2 0.1836 0.8164 0.2500  2 Pt 2.82, 4 In 3.13
In3 0.3673 0.1836 0.7500  2 Pt 2.82, 4 In 3.13
In4 0.6327 0.8164 0.2500  2 Pt 2.82, 4 In 3.13
In5 0.8164 0.1836 0.7500  2 Pt 2.82, 4 In 3.13
In6 0.8164 0.6327 0.7500  2 Pt 2.82, 4 In 3.13
Pt1 0.3333 0.6667 0.7500  6 In 2.82
Pt2 0.6667 0.3333 0.2500  6 In 2.82



[2]
The following is a PBE calculation of a relaxed InPt2 crystal, from Alexandria via LeMat-Bulk.

ΔE_f: -0.26 eV per atom
crystal system: monoclinic

Lattice parameters (Å, degrees): 4.9739 4.9739 7.5458 90.12 90.12 145.33
Last column: nearest neighbours and their distance in Å.
Positions (direct):
In1 0.0853 0.9147 0.7500  10 Pt 2.84-2.98, 2 In 2.96
In2 0.9147 0.0853 0.2500  10 Pt 2.84-2.98, 2 In 2.96
Pt1 0.3611 0.6365 0.9354  6 Pt 2.77-2.96, 5 In 2.84-2.98
Pt2 0.3635 0.6389 0.5646  6 Pt 2.77-2.96, 5 In 2.84-2.98
Pt3 0.6365 0.3611 0.4354  6 Pt 2.77-2.96, 5 In 2.84-2.98
Pt4 0.6389 0.3635 0.0646  6 Pt 2.77-2.96, 5 In 2.84-2.98



[3]
The following is a PBE calculation of a relaxed InPt2 crystal, from Alexandria via LeMat-Bulk.

ΔE_f: -0.36 eV per atom
crystal system: monoclinic

Lattice parameters (Å, degrees): 4.0580 4.0591 6.5203 90.00 103.46 90.00
Last column: nearest neighbours and their distance in Å.
Positions (direct):
In1 0.1280 0.2500 0.1961  9 Pt 2.73-2.93
In2 0.8720 0.7500 0.8039  9 Pt 2.73-2.93
Pt1 0.2561 0.7500 0.5045  4 In 2.77-2.82, 8 Pt 2.85-2.98
Pt2 0.3682 0.2500 0.8382  5 In 2.73-2.93, 6 Pt 2.93-2.98
Pt3 0.6318 0.7500 0.1618  5 In 2.73-2.93, 6 Pt 2.93-2.98
Pt4 0.7439 0.2500 0.4955  4 In 2.77-2.82, 8 Pt 2.85-2.98



[4]
The following is a PBE calculation of a relaxed In4Pt5 crystal, from Alexandria via LeMat-Bulk.

ΔE_f: -0.30 eV per atom
crystal system: tetragonal

Lattice parameters (Å, degrees): 6.6331 6.6331 6.6331 95.60 95.60 143.60
Last column: nearest neighbours and their distance in Å.
Positions (direct):
In1 0.0000 0.3078 0.3078  7 Pt 2.74-2.97
In2 0.0000 0.6922 0.6922  7 Pt 2.74-2.97
In3 0.3078 0.0000 0.3078  7 Pt 2.74-2.97
In4 0.6922 0.0000 0.6922  7 Pt 2.74-2.97
Pt1 0.0000 0.0000 0.0000  4 In 2.74, 8 Pt 2.96
Pt2 0.3319 0.3319 0.6638  6 In 2.84-2.97, 6 Pt 2.92-3.00
Pt3 0.3319 0.6681 0.0000  6 In 2.84-2.97, 6 Pt 2.92-3.00
Pt4 0.6681 0.3319 0.0000  6 In 2.84-2.97, 6 Pt 2.92-3.00
Pt5 0.6681 0.6681 0.3362  6 In 2.84-2.97, 6 Pt 2.92-3.00



[5]
The following is a PBE calculation of a relaxed InPt2 crystal, from Alexandria via LeMat-Bulk.

ΔE_f: -0.31 eV per atom
crystal system: tetragonal

Lattice parameters (Å, degrees): 5.6131 5.6131 5.6131 124.23 124.23 82.82
Last column: nearest neighbours and their distance in Å.
Positions (direct):
In1 0.2500 0.2500 0.0000  8 Pt 2.85
In2 0.7500 0.7500 0.0000  8 Pt 2.85
Pt1 0.1831 0.6831 0.8662  5 Pt 2.72, 4 In 2.85
Pt2 0.3169 0.1831 0.5000  5 Pt 2.72, 4 In 2.85
Pt3 0.6831 0.8169 0.5000  5 Pt 2.72, 4 In 2.85
Pt4 0.8169 0.3169 0.1338  5 Pt 2.72, 4 In 2.85



[6]
The following is a PBE calculation of a relaxed In2Pt crystal, from Alexandria via LeMat-Bulk.

ΔE_f: -0.27 eV per atom
crystal system: tetragonal

Lattice parameters (Å, degrees): 4.5057 4.5057 3.3725 90.00 90.00 90.00
Last column: nearest neighbours and their distance in Å.
Positions (direct):
In1 0.0000 0.5000 0.0000  4 Pt 2.81
In2 0.5000 0.0000 0.0000  4 Pt 2.81
Pt1 0.0000 0.0000 0.5000  8 In 2.81